No. 1
PBE K2ThScSe4, relaxed; formation energy from raw total energies = -1573 meV per atom
1.0
4.157 0.000 0.000
0.000 7.161 0.125
0.000 -2.517 7.705
K Se Sc Th
2 4 1 1
Direct
0.000 0.500 0.500 K
0.500 0.000 0.500 K
0.000 0.279 0.799 Se
0.500 0.252 0.212 Se
0.500 0.748 0.788 Se
0.000 0.721 0.201 Se
0.500 0.500 0.000 Sc
0.000 0.000 0.000 Th


No. 2
PBE GdMgCoPd, relaxed; ΔE_f = -0.323 eV/atom
1.0
4.683 0.000 0.000
2.341 4.055 0.000
2.341 1.352 3.823
Co Mg Gd Pd
1 1 1 1
Direct
0.500 0.500 0.500 Co
0.750 0.750 0.750 Mg
0.250 0.250 0.250 Gd
0.000 0.000 0.000 Pd


No. 3
PBE YHo2Er4Sc, relaxed; ΔE_f = 0.035 eV/atom
1.0
4.935 0.000 0.000
0.000 4.772 1.267
0.000 2.240 10.792
Er Sc Y Ho
4 1 1 2
Direct
0.500 0.256 0.744 Er
0.500 0.744 0.256 Er
0.000 0.244 0.256 Er
0.000 0.756 0.744 Er
0.000 0.500 0.500 Sc
0.500 0.500 0.000 Y
0.000 0.000 0.000 Ho
0.500 0.000 0.500 Ho


No. 4
PBE TaIn2Au, relaxed; relative energy among the computed polymorphs = 361 meV per atom; ΔE_f = 0.431 eV/atom
1.0
0.000 3.439 3.439
3.439 0.000 3.439
3.439 3.439 0.000
Ta In Au
1 2 1
Direct
0.000 0.000 0.000 Ta
0.250 0.250 0.250 In
0.750 0.750 0.750 In
0.500 0.500 0.500 Au


No. 5
PBE Ac12ZnCd6, relaxed; ΔE_f = -0.067 eV/atom
1.0
-6.576 -3.352 4.988
5.928 -2.321 6.232
-1.044 7.928 3.928
Ac Cd Zn
12 6 1
Direct
0.999 0.133 0.347 Ac
0.544 0.441 0.805 Ac
0.805 0.544 0.441 Ac
0.559 0.195 0.456 Ac
0.653 0.001 0.867 Ac
0.195 0.456 0.559 Ac
0.867 0.653 0.001 Ac
0.133 0.347 0.999 Ac
0.456 0.559 0.195 Ac
0.001 0.867 0.653 Ac
0.347 0.999 0.133 Ac
0.441 0.805 0.544 Ac
0.736 0.290 0.114 Cd
0.114 0.736 0.290 Cd
0.886 0.264 0.710 Cd
0.264 0.710 0.886 Cd
0.710 0.886 0.264 Cd
0.290 0.114 0.736 Cd
0.000 0.000 0.000 Zn


No. 6
PBE K2ScSiO4, relaxed; formation energy from raw total energies = -2224 meV per atom
1.0
5.334 0.000 0.000
2.667 6.160 0.000
2.667 0.000 10.978
O K Si Sc
8 4 2 2
Direct
0.339 0.842 0.076 O
0.257 0.158 0.924 O
0.165 0.342 0.424 O
0.493 0.342 0.576 O
0.819 0.842 0.924 O
0.585 0.158 0.076 O
0.931 0.658 0.576 O
0.411 0.658 0.424 O
0.570 0.500 0.860 K
0.820 0.000 0.360 K
0.180 0.000 0.640 K
0.930 0.500 0.140 K
0.250 0.500 0.500 Si
0.500 0.000 0.000 Si
0.750 0.500 0.500 Sc
0.000 0.000 0.000 Sc


Short version: V = 230.7; 72.6; 240.1; 81.3; 707.0; 360.7 Å³/cell, in the order given.
Short version: raw total energy = -5.309; -7.317; -4.990; -4.721; -3.018; -6.447 eV/atom, in the order given.